Entry from the Alexandria database: a relaxed ScSi2W crystal (PBE).

```
4
Lattice="3.592 0.000 0.000 0.000 3.888 0.000 0.000 0.000 4.466" Properties=species:S:1:pos:R:3 pbc="T T T"
Sc 0.000 0.000 0.000
Si 0.000 1.944 2.233
Si 1.796 1.944 0.000
W 1.796 0.000 2.233
```

Energy above the most stable polymorph in this dataset (eV per atom): 0.273
Total magnetic moment (μB per cell): 0.00
E_form (uncorrected) (eV/atom): -0.11
VASP energy (eV per cell): -30.58
Space group: Pmmm, No. 47

=====

Entry from the Alexandria database: a relaxed CdGePb3 crystal (PBE).

```
5
Lattice="5.597 0.000 0.000 0.000 5.597 0.000 0.000 0.000 5.597" Properties=species:S:1:pos:R:3 pbc="T T T"
Cd 0.000 0.000 0.000
Ge 2.798 2.798 2.798
Pb 0.000 2.798 2.798
Pb 2.798 0.000 2.798
Pb 2.798 2.798 0.000
```

Energy above the most stable polymorph in this dataset (eV per atom): 0.000
Total magnetic moment (μB per cell): 0.00
ΔH_f (0 K) (meV/atom): 463
VASP energy (eV per cell): -14.34
Space group: Pm-3m, No. 221

=====

Entry from the Alexandria database: a relaxed Mg3AgAu crystal (PBE).

```
10
Lattice="3.427 0.000 0.000 -0.013 6.775 0.000 -1.709 -1.720 8.195" Properties=species:S:1:pos:R:3 pbc="T T T"
Mg 1.714 -0.150 8.195
Mg -0.010 5.204 0.001
Mg -0.002 1.710 3.095
Mg -0.010 5.042 3.144
Mg 1.715 0.012 5.051
Mg 1.706 3.344 5.100
Ag -0.003 1.660 6.654
Ag 1.707 3.394 1.541
Au -0.013 5.081 6.445
Au 1.717 -0.027 1.751
```

Energy above the most stable polymorph in this dataset (eV per atom): 0.000
Total magnetic moment (μB per cell): 0.00
ΔH_f (0 K) (meV/atom): -360
VASP energy (eV per cell): -25.43
Space group: P-1, No. 2

=====

Entry from the Alexandria database: a relaxed SmBeSiIr crystal (PBE).

```
4
Lattice="-2.025 2.053 4.398 2.025 -2.053 4.398 2.025 2.053 -4.398" Properties=species:S:1:pos:R:3 pbc="T T T"
Sm 0.000 0.000 0.000
Be 0.000 2.053 2.098
Si 0.000 0.000 3.090
Ir 0.000 0.000 5.428
```

Total magnetic moment (μB per cell): 0.00
E_form (uncorrected) (eV/atom): -0.33
VASP energy (eV per cell): -24.07
Space group: Imm2, No. 44

=====

Entry from the Alexandria database: a relaxed AgPd crystal (PBE).

```
2
Lattice="2.852 0.000 0.000 -1.426 2.470 0.000 0.000 0.000 4.699" Properties=species:S:1:pos:R:3 pbc="T T T"
Ag 0.000 0.000 0.000
Pd 1.426 0.823 2.350
```

Total magnetic moment (μB per cell): 0.00
ΔH_f (0 K) (meV/atom): -24
VASP energy (eV per cell): -8.09
Space group: P-6m2, No. 187

=====

Entry from the Alexandria database: a relaxed Rb2TiRhBr6 crystal (PBE).

```
10
Lattice="-3.770 3.770 5.321 3.770 -3.770 5.321 3.770 3.770 -5.321" Properties=species:S:1:pos:R:3 pbc="T T T"
Rb 3.770 0.000 2.660
Rb 0.000 3.770 2.660
Ti 0.000 0.000 0.000
Rh 0.000 0.000 5.321
Br 0.000 0.000 2.596
Br 1.841 1.841 0.000
Br 1.929 -1.929 5.321
Br -1.929 1.929 5.321
Br 0.000 0.000 8.045
Br 1.929 1.929 5.321
```

Total magnetic moment (μB per cell): 1.39
E_form (uncorrected) (eV/atom): -1.04
VASP energy (eV per cell): -37.59
Space group: I4/mmm, No. 139